Here is Zr2MnOs at its PBEsol-relaxed geometry from Alexandria via LeMat-Bulk. Energies are from SCAN.

Cell lengths 3.194, 3.194, 6.410 Å; angles 90.00, 90.00, 90.00 degrees
Fractional positions:
Zr (0.000, 0.000, 0.243)
Zr (0.000, 0.000, 0.757)
Mn (0.500, 0.500, 0.000)
Os (0.500, 0.500, 0.500)

Properties
space-group type: P4/mmm (123)
ΔH_f (0 K): -0.409 eV/atom
calculated density: 10.86 g/cm3

=====

Here is ZrMnOs2 at its PBEsol-relaxed geometry from Alexandria via LeMat-Bulk. Energies are from SCAN.

Cell lengths 9.284, 9.284, 9.284 Å; angles 16.98, 16.98, 16.98 degrees
Fractional positions:
Zr (0.000, 0.000, 0.000)
Mn (0.755, 0.755, 0.755)
Os (0.241, 0.241, 0.241)
Os (0.496, 0.496, 0.496)

Properties
space-group type: R3m (160)
ΔH_f (0 K): 0.232 eV/atom
calculated density: 14.68 g/cm3

=====

Here is MnP at its PBEsol-relaxed geometry from Alexandria via LeMat-Bulk. Energies are from SCAN.

Cell lengths 4.138, 4.138, 6.054 Å; angles 101.24, 101.24, 40.16 degrees
Fractional positions:
Mn (0.000, 0.000, 0.000)
Mn (0.085, 0.085, 0.601)
Mn (0.767, 0.767, 0.301)
P (0.381, 0.381, 0.687)
P (0.482, 0.482, 0.293)
P (0.703, 0.703, 0.907)

Properties
space-group type: Cm (8)
ΔH_f (0 K): -0.398 eV/atom
calculated density: 6.54 g/cm3

=====

Here is MnP at its PBEsol-relaxed geometry from Alexandria via LeMat-Bulk. Energies are from SCAN.

Cell lengths 3.492, 3.492, 8.780 Å; angles 90.00, 90.00, 120.00 degrees
Fractional positions:
Mn (0.333, 0.667, 0.109)
Mn (0.333, 0.667, 0.391)
Mn (0.667, 0.333, 0.609)
Mn (0.667, 0.333, 0.891)
P (0.000, 0.000, 0.000)
P (0.000, 0.000, 0.500)
P (0.333, 0.667, 0.750)
P (0.667, 0.333, 0.250)

Properties
space-group type: P6_3/mmc (194)
ΔH_f (0 K): -0.198 eV/atom
calculated density: 6.15 g/cm3

=====

Here is MnP at its PBEsol-relaxed geometry from Alexandria via LeMat-Bulk. Energies are from SCAN.

Cell lengths 5.139, 3.079, 5.793 Å; angles 90.00, 90.00, 90.00 degrees
Fractional positions:
Mn (0.005, 0.250, 0.196)
Mn (0.495, 0.750, 0.696)
Mn (0.505, 0.250, 0.304)
Mn (0.995, 0.750, 0.804)
P (0.186, 0.250, 0.568)
P (0.314, 0.750, 0.068)
P (0.686, 0.250, 0.932)
P (0.814, 0.750, 0.432)

Properties
space-group type: Pnma (62)
ΔH_f (0 K): -0.662 eV/atom
calculated density: 6.23 g/cm3

=====

Here is Mn5P3 at its PBEsol-relaxed geometry from Alexandria via LeMat-Bulk. Energies are from SCAN.

Cell lengths 6.363, 6.363, 4.777 Å; angles 90.00, 90.00, 120.00 degrees
Fractional positions:
Mn (0.000, 0.247, 0.250)
Mn (0.000, 0.753, 0.750)
Mn (0.247, 0.000, 0.250)
Mn (0.247, 0.247, 0.750)
Mn (0.333, 0.667, 0.000)
Mn (0.333, 0.667, 0.500)
Mn (0.667, 0.333, 0.000)
Mn (0.667, 0.333, 0.500)
Mn (0.753, 0.000, 0.750)
Mn (0.753, 0.753, 0.250)
P (0.000, 0.394, 0.750)
P (0.000, 0.606, 0.250)
P (0.394, 0.000, 0.750)
P (0.394, 0.394, 0.250)
P (0.606, 0.000, 0.250)
P (0.606, 0.606, 0.750)

Properties
space-group type: P6_3/mcm (193)
ΔH_f (0 K): -0.370 eV/atom
polymorph energy (0 for the lowest one): 150 meV per atom
calculated density: 7.29 g/cm3

=====

Repeat the first record exactly.
Here is Zr2MnOs at its PBEsol-relaxed geometry from Alexandria via LeMat-Bulk. Energies are from SCAN.

Cell lengths 3.194, 3.194, 6.410 Å; angles 90.00, 90.00, 90.00 degrees
Fractional positions:
Zr (0.000, 0.000, 0.243)
Zr (0.000, 0.000, 0.757)
Mn (0.500, 0.500, 0.000)
Os (0.500, 0.500, 0.500)

Properties
space-group type: P4/mmm (123)
ΔH_f (0 K): -0.409 eV/atom
calculated density: 10.86 g/cm3

=====

- What is the formula in the sixth record?
  Mn5P3

=====

Please write out number 2 again, unchanged.
Here is ZrMnOs2 at its PBEsol-relaxed geometry from Alexandria via LeMat-Bulk. Energies are from SCAN.

Cell lengths 9.284, 9.284, 9.284 Å; angles 16.98, 16.98, 16.98 degrees
Fractional positions:
Zr (0.000, 0.000, 0.000)
Mn (0.755, 0.755, 0.755)
Os (0.241, 0.241, 0.241)
Os (0.496, 0.496, 0.496)

Properties
space-group type: R3m (160)
ΔH_f (0 K): 0.232 eV/atom
calculated density: 14.68 g/cm3

=====

- ΔH_f (0 K) of number 2 (ZrMnOs2)?
  0.232 eV/atom